Entry 1:
FeAuC2: relaxed, PBE.

Structure (CIF):
```
data_FeAuC2
_chemical_formula_sum 'Fe2 Au2 C4'
_cell_length_a 3.0146
_cell_length_b 3.2900
_cell_length_c 10.1261
_cell_angle_alpha 90.00
_cell_angle_beta 90.00
_cell_angle_gamma 90.00
_space_group_name_H-M_alt 'P 1'
_space_group_IT_number 1
loop_
_space_group_symop_operation_xyz
'x,y,z'
loop_
_atom_site_label
_atom_site_fract_x
_atom_site_fract_y
_atom_site_fract_z
C1 0.5000 0.5000 0.1307
C2 0.5000 0.5000 0.8139
C3 0.0000 0.0000 0.6307
C4 0.0000 0.0000 0.3139
Au1 0.0000 0.5000 0.9838
Au2 0.5000 0.0000 0.4838
Fe1 0.5000 0.0000 0.2189
Fe2 0.0000 0.5000 0.7189
```

Results
DOS at the Fermi energy, states/eV per atom: 0.59
Energy of formation from the pure elements, meV per atom: 1087.3
Energy above the lowest structure with this stoichiometry, meV/atom: 443
Final energy, eV/cell: -51.68
SG: Imm2 (44)



Entry 2:
FeAuC2: relaxed, PBE.

Structure (CIF):
```
data_FeAuC2
_chemical_formula_sum 'Fe2 Au2 C4'
_cell_length_a 4.6589
_cell_length_b 4.6589
_cell_length_c 5.5438
_cell_angle_alpha 65.15
_cell_angle_beta 65.15
_cell_angle_gamma 90.00
_space_group_name_H-M_alt 'P 1'
_space_group_IT_number 1
loop_
_space_group_symop_operation_xyz
'x,y,z'
loop_
_atom_site_label
_atom_site_fract_x
_atom_site_fract_y
_atom_site_fract_z
C1 0.5595 0.1250 0.2500
C2 0.8750 0.8095 0.7500
C3 0.1905 0.6250 0.2500
C4 0.3750 0.4405 0.7500
Fe1 0.5000 0.5000 0.0000
Fe2 0.2500 0.7500 0.5000
Au1 0.7500 0.2500 0.5000
Au2 0.0000 0.0000 0.0000
```

Results
DOS at the Fermi energy, states/eV per atom: 0.53
Energy of formation from the pure elements, meV per atom: 1097.9
Energy above the lowest structure with this stoichiometry, meV/atom: 453
Final energy, eV/cell: -51.59
SG: I-42d (122)